Computed, not measured: crystalline HoScGaPd at its relaxed geometry at the PBE-GGA level of DFT.

Calculated values
Offset from the most stable computed form (kJ/mol of atoms): 0.0
Magnetic moment (μB per atom): 0.0000
Energy (eV per atom): -5.5223
Energy relative to the elements (eV/atom): -0.740

Cell lengths 4.352, 3.562, 10.901 Å; angles 90.00, 90.00, 90.00 degrees
Space group Amm2 (No. 38)
Asymmetric unit:
Ho1 0.000 0.000 0.000
Sc1 0.500 0.000 0.286
Ga1 0.000 0.000 0.730
Pd1 0.500 0.000 0.575

Computed, not measured: crystalline Th2BC at its relaxed geometry at the PBE-GGA level of DFT.

Calculated values
Offset from the most stable computed form (kJ/mol of atoms): 97.4
Magnetic moment (μB per atom): 0.0000
Energy (eV per atom): -6.9028
Energy relative to the elements (eV/atom): 0.782

Cell lengths 4.0758, 4.0758, 21.5258 Å; angles 90.00, 90.00, 120.00 degrees
Space group R-3m (No. 166, hexagonal axes)
Asymmetric unit:
Th1 0.0000 0.0000 0.1004
B1 0.0000 0.0000 0.5000
C1 0.0000 0.0000 0.0000

Computed, not measured: crystalline SiHgIr2 at its relaxed geometry at the PBE-GGA level of DFT.

Calculated values
Offset from the most stable computed form (kJ/mol of atoms): 58.8
Energy relative to the elements, uncorrected (eV per atom): 0.4183
Magnetic moment (μB per atom): 0.0000
Energy (eV per atom): -5.4434

Cell lengths 5.795, 8.814, 2.941 Å; angles 90.00, 120.13, 90.00 degrees
Space group C2/m (No. 12)
Asymmetric unit:
Si1 0.000 0.000 0.000
Hg1 0.000 0.500 0.000
Ir1 0.250 0.250 0.000

Computed, not measured: crystalline ReW2Au at its relaxed geometry at the PBE-GGA level of DFT.

Calculated values
Offset from the most stable computed form (kJ/mol of atoms): 9.3
Magnetic moment (μB per atom): 0.0000
Energy (eV per atom): -10.0422
Energy relative to the elements (eV/atom): 0.366

Cell lengths 3.340, 3.340, 5.861 Å; angles 90.00, 90.00, 90.00 degrees
Space group P4mm (No. 99)
Asymmetric unit:
Re1 0.000 0.000 0.000
W1 0.000 0.000 0.461
W2 0.500 0.500 0.223
Au1 0.500 0.500 0.727

Computed, not measured: crystalline HoErPd4 at its relaxed geometry at the PBE-GGA level of DFT.

Calculated values
Offset from the most stable computed form (kJ/mol of atoms): 7.6
Magnetic moment (μB per atom): 0.0000
Energy (eV per atom): -5.7232
Energy relative to the elements (eV/atom): -0.738

Cell lengths 4.101, 30.421, 3.902 Å; angles 90.00, 90.00, 90.00 degrees
Space group Cmmm (No. 65)
Asymmetric unit:
Ho1 0.000 0.202 0.000
Er1 0.000 0.432 0.500
Pd1 0.000 0.000 0.500
Pd2 0.000 0.134 0.500
Pd3 0.000 0.285 0.500
Pd4 0.000 0.363 0.000
Pd5 0.000 0.500 0.000

Computed, not measured: crystalline Y2HoErTm5 at its relaxed geometry at the PBE-GGA level of DFT.

Calculated values
Magnetic moment (μB per atom): 0.0000
Energy (eV per atom): -4.7804
Energy relative to the elements (eV/atom): 0.156

Cell lengths 5.545, 19.534, 10.516 Å; angles 90.00, 90.00, 90.00 degrees
Space group Cmc2_1 (No. 36)
Asymmetric unit:
Y1 0.000 0.109 0.000
Y2 0.000 0.113 0.583
Ho1 0.000 0.201 0.274
Er1 0.000 0.414 0.722
Tm1 0.000 0.020 0.290
Tm2 0.000 0.283 0.570
Tm3 0.000 0.300 0.972
Tm4 0.000 0.392 0.286
Tm5 0.000 0.480 0.001

Computed, not measured: crystalline Nd2HfGa4Pd3 at its relaxed geometry at the PBE-GGA level of DFT.

Calculated values
Magnetic moment (μB per atom): 0.0000
Energy (eV per atom): -5.4203
Energy relative to the elements (eV/atom): -0.703

Cell lengths 4.203, 4.203, 11.447 Å; angles 90.00, 90.00, 90.00 degrees
Space group P-4m2 (No. 115)
Asymmetric unit:
Nd1 0.000 0.500 0.242
Hf1 0.000 0.000 0.500
Ga1 0.000 0.000 0.000
Ga2 0.000 0.500 0.654
Ga3 0.500 0.500 0.000
Pd1 0.000 0.500 0.872
Pd2 0.500 0.500 0.500

Computed, not measured: crystalline BeAlCd at its relaxed geometry at the PBE-GGA level of DFT.

Calculated values
Offset from the most stable computed form (kJ/mol of atoms): 19.2
Magnetic moment (μB per atom): 0.0000
Energy (eV per atom): -2.3502
Energy relative to the elements (eV/atom): 0.444

Cell lengths 3.106, 4.916, 13.052 Å; angles 90.00, 90.00, 90.00 degrees
Space group Fmm2 (No. 42)
Asymmetric unit:
Be1 0.000 0.000 0.000
Al1 0.000 0.000 0.642
Cd1 0.000 0.000 0.339